(1)
Density functional theory data (GGA-PBE) for a relaxed TbPrDy3Ho crystal.

Properties
Volume in Å³/f.u.: 196
E in eV/cell: -53.1
N(E_F) in states/eV per atom: 1.425

a b c (Å): 5.6382 10.3314 7.0118
angles (deg): 89.97 90.00 105.83
Atoms (fractional coordinates):
Tb 0.6498 0.2996 0.4559
Tb 0.3502 0.7004 0.5441
Pr 0.3563 0.7126 0.9733
Pr 0.6437 0.2874 0.0267
Dy 0.8373 0.6747 0.2716
Dy 0.7790 0.5581 0.7590
Dy 0.4775 0.9550 0.2649
Dy 0.2210 0.4419 0.2410
Dy 0.5225 0.0450 0.7351
Dy 0.1627 0.3253 0.7284
Ho 0.0561 0.1121 0.2754
Ho 0.9439 0.8879 0.7246

(2)
Density functional theory data (GGA-PBE) for a relaxed PuCu2BiO8 crystal.

Properties
Volume in Å³/f.u.: 156
Uncorrected formation energy in eV per formula unit: -13.1
N(E_F) in states/eV per atom: 0.574

a b c (Å): 5.8785 5.8785 5.8785
angles (deg): 110.75 110.75 106.94
Atoms (fractional coordinates):
Pu 0.2500 0.7500 0.5000
Cu 0.7500 0.2500 0.5000
Cu 0.5000 0.5000 0.0000
Bi 0.0000 0.0000 0.0000
O 0.3699 0.0447 0.3252
O 0.2985 0.5001 0.2016
O 0.2985 0.0969 0.7984
O 0.7195 0.0447 0.6748
O 0.9031 0.7015 0.2016
O 0.9553 0.2805 0.3252
O 0.9553 0.6301 0.6748
O 0.4999 0.7015 0.7984

(3)
Density functional theory data (GGA-PBE) for a relaxed ScTaTc crystal.

Properties
Volume in Å³/f.u.: 56
E above lowest polymorph in meV/atom: 284.5
N(E_F) in states/eV per atom: 1.068

a b c (Å): 3.1148 3.1148 6.6089
angles (deg): 90.00 90.00 120.00
Atoms (fractional coordinates):
Sc 0.0000 0.0000 0.9791
Ta 0.6667 0.3333 0.3675
Tc 0.3333 0.6667 0.6534

(4)
Density functional theory data (GGA-PBE) for a relaxed YSiRh3 crystal.

Properties
Volume in Å³/f.u.: 114
E above lowest polymorph in meV/atom: 2008.9
Uncorrected formation energy in eV per formula unit: 6.7
N(E_F) in states/eV per atom: 0.487

a b c (Å): 4.8550 4.8550 4.8550
angles (deg): 90.00 90.00 90.00
Atoms (fractional coordinates):
Y 0.0000 0.0000 0.0000
Si 0.5000 0.5000 0.5000
Rh 0.0000 0.5000 0.0000
Rh 0.0000 0.0000 0.5000
Rh 0.5000 0.0000 0.0000

(5)
Density functional theory data (GGA-PBE) for a relaxed Li4Tm3BiSe8 crystal.

Properties
Volume in Å³/f.u.: 371
Uncorrected formation energy in eV per formula unit: -23.1
N(E_F) in states/eV per atom: 0.000

a b c (Å): 8.1158 8.0269 8.1142
angles (deg): 120.40 120.01 90.00
Atoms (fractional coordinates):
Li 0.5000 0.0000 0.0000
Li 0.5000 0.0000 0.5000
Li 0.0000 0.0000 0.0000
Li 0.0000 0.0000 0.5000
Tm 0.5000 0.5000 0.0000
Tm 0.5000 0.5000 0.5000
Tm 0.0000 0.5000 0.5000
Bi 0.0000 0.5000 0.0000
Se 0.2559 0.7547 0.9992
Se 0.2558 0.7547 0.5117
Se 0.2505 0.2519 0.5010
Se 0.7433 0.7547 0.9992
Se 0.2567 0.2453 0.0008
Se 0.7495 0.7481 0.4990
Se 0.7442 0.2453 0.4883
Se 0.7441 0.2453 0.0008

(6)
Density functional theory data (GGA-PBE) for a relaxed Ta2TeOs crystal.

Properties
Volume in Å³/f.u.: 71
Uncorrected formation energy in eV per formula unit: 1.0
N(E_F) in states/eV per atom: 0.453

a b c (Å): 3.3123 4.7771 4.5147
angles (deg): 90.00 90.00 90.00
Atoms (fractional coordinates):
Os 0.0000 0.5000 0.5000
Ta 0.0000 0.0000 0.0000
Ta 0.5000 0.5000 0.0000
Te 0.5000 0.0000 0.5000